1.
BaBiBr | GGA-PBE | relaxed

E above lowest polymorph: 0.92 eV per formula unit
Space-group type: Immm (71)
Energy relative to the elements, uncorrected: -1006 meV per atom
Magnetic moment: 0.18 μB per formula unit
Crystal system: orthorhombic
N(E_F): 1.7 states/eV/f.u.
Calculated density: 5.734 g/cm3

a b c (Å): 5.8764 3.9784 11.1389
angles (deg): 100.29 105.29 90.00
Last column: magnetic moment on the atom in μB.
Element x y z (fractional)
Ba 0.8449 0.3449 0.6898  0.07
Ba 0.1551 0.6551 0.3102  0.07
Br 0.3117 0.8117 0.6235  0.00
Bi 0.2512 0.5000 0.0000  0.00
Br 0.6883 0.1883 0.3765  0.00
Bi 0.7488 0.5000 0.0000  0.00

---

2.
Al2ReOs | GGA-PBE | relaxed

E above lowest polymorph: 0.36 eV per formula unit
Space-group type: R3m (160)
Magnetic moment: 0.00 μB per formula unit
Crystal system: trigonal
N(E_F): 2.4 states/eV/f.u.
Calculated density: 11.896 g/cm3

a b c (Å): 8.8083 8.8083 8.8083
angles (deg): 18.50 18.50 18.50
Element x y z (fractional)
Al 0.2465 0.2465 0.2465
Os 0.4990 0.4990 0.4990
Al 0.0022 0.0022 0.0022
Re 0.7523 0.7523 0.7523

---

3.
Ga2Pb4I9 | GGA-PBE | relaxed

Space-group type: P-1 (2)
Energy relative to the elements, uncorrected: -459 meV per atom
Magnetic moment: 0.00 μB per formula unit
Crystal system: triclinic
N(E_F): 7.2 states/eV/f.u.
Calculated density: 5.277 g/cm3

a b c (Å): 8.0830 8.0784 23.4830
angles (deg): 89.91 90.10 60.01
Element x y z (fractional)
I 0.3329 0.6488 0.0823
Ga 0.0000 0.9993 0.1625
Pb 0.3331 0.3326 0.6764
I 0.9809 0.3516 0.4177
I 0.6810 0.9993 0.7499
I 0.0191 0.6484 0.5823
Pb 0.3333 0.3334 0.9920
I 0.6671 0.3512 0.9177
I 0.0005 0.6797 0.2501
Ga 0.0000 0.0007 0.8375
Pb 0.6661 0.6660 0.8236
I 0.6479 0.3335 0.5823
I 0.6809 0.3203 0.2498
Pb 0.6667 0.6666 0.0080
I 0.6478 0.0180 0.0823
I 0.9995 0.3203 0.7499
I 0.0192 0.3328 0.0823
I 0.3191 0.6797 0.7502
I 0.3190 0.0007 0.2501
Ga 0.9993 0.0001 0.3376
Pb 0.6669 0.6674 0.3236
I 0.9808 0.6672 0.9177
Pb 0.3333 0.3333 0.4920
Pb 0.6667 0.6667 0.5080
I 0.3522 0.9820 0.9177
Ga 0.0007 0.9999 0.6624
I 0.3521 0.6665 0.4177
Pb 0.3339 0.3340 0.1764
I 0.6660 0.9823 0.4176
I 0.3340 0.0177 0.5824

---

4.
Sr4N3 | GGA-PBE | relaxed

E above lowest polymorph: 0.25 eV per formula unit
Space-group type: C2/m (12)
Energy relative to the elements, uncorrected: -363 meV per atom
Magnetic moment: 1.19 μB per formula unit
Crystal system: monoclinic
N(E_F): 8.0 states/eV/f.u.
Calculated density: 3.880 g/cm3

a b c (Å): 3.8562 3.8562 13.2376
angles (deg): 81.43 81.43 60.03
Last column: magnetic moment on the atom in μB.
Element x y z (fractional)
Sr 0.3742 0.3742 0.3804  0.01
N 0.0000 0.0000 0.5000  0.55
Sr 0.1154 0.1154 0.1621  0.01
Sr 0.6258 0.6258 0.6196  0.01
N 0.7531 0.7531 0.2466  0.13
Sr 0.8846 0.8846 0.8379  0.01
N 0.2469 0.2469 0.7534  0.13

---

5.
Tl4Sn6As | GGA-PBE | relaxed

Space-group type: Cmc2_1 (36)
Energy: -3.35 eV per atom
Magnetic moment: 0.00 μB per formula unit
Crystal system: orthorhombic
N(E_F): 5.4 states/eV/f.u.
Calculated density: 7.753 g/cm3

a b c (Å): 7.2079 10.5224 10.4798
angles (deg): 120.13 90.00 90.00
Element x y z (fractional)
As 0.6813 0.3331 0.6662
Sn 0.1085 0.6317 0.8146
Tl 0.0562 0.8464 0.1529
Sn 0.3536 0.9397 0.4705
Tl 0.5536 0.1527 0.3054
Sn 0.8536 0.4691 0.5294
Tl 0.0562 0.3064 0.1529
Tl 0.5562 0.1536 0.8471
Sn 0.8559 0.4695 0.9390
As 0.1813 0.6669 0.3338
Sn 0.8536 0.0603 0.5294
Sn 0.3559 0.5305 0.0610
Tl 0.5562 0.6936 0.8471
Sn 0.1085 0.1830 0.8146
Sn 0.6070 0.8163 0.6326
Tl 0.7923 0.6667 0.3334
Tl 0.2923 0.3333 0.6666
Sn 0.3536 0.5309 0.4705
Sn 0.6085 0.8170 0.1854
Tl 0.0536 0.8473 0.6946
Sn 0.6085 0.3683 0.1854
Sn 0.1070 0.1837 0.3674

---

6.
SrMn3Cu | GGA-PBE | relaxed

E above lowest polymorph: 7.69 eV per formula unit
Space-group type: Pm-3m (221)
Magnetic moment: 11.40 μB per formula unit
Crystal system: cubic
N(E_F): 3.2 states/eV/f.u.
Calculated density: 4.135 g/cm3

a b c (Å): 5.0250 5.0250 5.0250
angles (deg): 90.00 90.00 90.00
Last column: magnetic moment on the atom in μB.
Element x y z (fractional)
Mn 0.0000 0.5000 0.0000  3.76
Mn 0.0000 0.0000 0.5000  3.29
Cu 0.5000 0.5000 0.5000  0.01
Sr 0.0000 0.0000 0.0000  -0.18
Mn 0.5000 0.0000 0.0000  4.10